Record 1
A relaxed PmYTh2P4 crystal, computed with PBE.

Cell: 7.092 4.119 7.136 Å, 90.00 109.66 90.00°
Fractional coordinates of all 8 atoms:
Pm  0.000  0.000  0.000
Y  0.000  0.500  0.500
Th  0.500  0.000  0.500
Th  0.500  0.500  0.000
P  0.247  0.000  0.746
P  0.249  0.500  0.253
P  0.751  0.500  0.747
P  0.753  0.000  0.254

Properties
DFT total energy (eV/cell): -60.35
DOS at the Fermi energy (states/eV per cell): 3.8

=====

Record 2
A relaxed Pm3YTh2P6 crystal, computed with PBE.

Cell: 7.136 7.136 7.131 Å, 99.58 99.58 120.05°
Fractional coordinates of all 12 atoms:
Pm  0.000  0.000  0.000
Pm  0.333  0.667  0.000
Pm  0.667  0.333  0.000
Y  0.500  0.500  0.500
Th  0.167  0.833  0.500
Th  0.833  0.167  0.500
P  0.087  0.418  0.254
P  0.251  0.251  0.747
P  0.418  0.087  0.254
P  0.582  0.913  0.746
P  0.749  0.749  0.253
P  0.913  0.582  0.746

Properties
DFT total energy (eV/cell): -87.15
DOS at the Fermi energy (states/eV per cell): 2.2

=====

Record 3
A relaxed PmY2Th3P6 crystal, computed with PBE.

Cell: 7.117 7.117 7.069 Å, 99.68 99.68 119.92°
Fractional coordinates of all 12 atoms:
Pm  0.000  0.000  0.000
Y  0.333  0.667  0.000
Y  0.667  0.333  0.000
Th  0.166  0.834  0.500
Th  0.500  0.500  0.500
Th  0.834  0.166  0.500
P  0.082  0.419  0.247
P  0.255  0.255  0.754
P  0.419  0.082  0.247
P  0.581  0.918  0.753
P  0.745  0.745  0.246
P  0.918  0.581  0.753

Properties
DFT total energy (eV/cell): -91.44
DOS at the Fermi energy (states/eV per cell): 4.9

=====

Record 4
A relaxed Pm2ThZrP4 crystal, computed with PBE.

Cell: 6.980 4.036 7.007 Å, 90.00 109.34 90.00°
Fractional coordinates of all 8 atoms:
Pm  0.000  0.000  0.000
Pm  0.500  0.500  0.000
Th  0.000  0.500  0.500
Zr  0.500  0.000  0.500
P  0.259  0.000  0.741
P  0.267  0.500  0.267
P  0.733  0.500  0.733
P  0.741  0.000  0.259

Properties
DFT total energy (eV/cell): -58.96
DOS at the Fermi energy (states/eV per cell): 4.1

=====

Record 5
A relaxed PmTh2ZrP4 crystal, computed with PBE.

Cell: 6.967 4.042 7.011 Å, 90.00 109.41 90.00°
Fractional coordinates of all 8 atoms:
Pm  0.000  0.000  0.000
Th  0.500  0.000  0.500
Th  0.500  0.500  0.000
Zr  0.000  0.500  0.500
P  0.234  0.000  0.735
P  0.241  0.500  0.257
P  0.759  0.500  0.743
P  0.766  0.000  0.265

Properties
DFT total energy (eV/cell): -61.56
DOS at the Fermi energy (states/eV per cell): 2.8

=====

Record 6
A relaxed PmTiP2 crystal, computed with PBE.

Cell: 4.737 4.737 4.737 Å, 60.00 60.00 60.00°
Fractional coordinates of all 4 atoms:
Pm  0.000  0.000  0.000
Ti  0.500  0.500  0.500
P  0.250  0.250  0.250
P  0.750  0.750  0.750

Properties
ΔE to the lowest computed polymorph (meV/atom): 200
DFT total energy (eV/cell): -26.34
DOS at the Fermi energy (states/eV per cell): 3.0